a | Crystalline GeTeIN2 at its relaxed geometry. Source: Alexandria, functional PBE-GGA.

Unit cell a=4.113 b=4.113 c=7.754 alpha=90.00 beta=90.00 gamma=90.00
Space group P4/mmm (No. 123)
Unique sites:
Ge: 0.000 0.000 0.000
Te: 0.500 0.500 0.500
I: 0.500 0.500 0.000
N: 0.000 0.500 0.500

***

b | Crystalline GeTeIN2 at its relaxed geometry. Source: Alexandria, functional PBE-GGA.

Unit cell a=4.025 b=4.025 c=7.545 alpha=90.00 beta=90.00 gamma=90.00
Space group P4/mmm (No. 123)
Unique sites:
Ge: 0.000 0.000 0.000
Te: 0.500 0.500 0.500
I: 0.000 0.000 0.500
N: 0.000 0.500 0.000

***

c | Crystalline GeTeIN2 at its relaxed geometry. Source: Alexandria, functional PBE-GGA.

Unit cell a=4.059 b=4.059 c=7.648 alpha=90.00 beta=90.00 gamma=90.00
Space group P4/mmm (No. 123)
Unique sites:
Ge: 0.000 0.000 0.000
Te: 0.500 0.500 0.000
I: 0.500 0.500 0.500
N: 0.000 0.500 0.500

***

d | Crystalline GeTeIN2 at its relaxed geometry. Source: Alexandria, functional PBE-GGA.

Unit cell a=4.175 b=4.175 c=5.982 alpha=90.00 beta=90.00 gamma=90.00
Space group P4/mmm (No. 123)
Unique sites:
Ge: 0.000 0.000 0.000
Te: 0.000 0.000 0.500
I: 0.500 0.500 0.500
N: 0.000 0.500 0.000

***

Most favorable structure: d. The second most favorable one is 86 meV per atom above it.

***

a | Crystalline VGeIN2 at its relaxed geometry. Source: Alexandria, functional PBE-GGA.

Unit cell a=3.786 b=3.786 c=6.456 alpha=90.00 beta=90.00 gamma=90.00
Space group P4/mmm (No. 123)
Unique sites:
V: 0.000 0.000 0.000
Ge: 0.500 0.500 0.500
I: 0.500 0.500 0.000
N: 0.000 0.500 0.500

***

b | Crystalline VGeIN2 at its relaxed geometry. Source: Alexandria, functional PBE-GGA.

Unit cell a=3.937 b=3.937 c=5.460 alpha=90.00 beta=90.00 gamma=90.00
Space group P4/mmm (No. 123)
Unique sites:
V: 0.000 0.000 0.000
Ge: 0.500 0.500 0.500
I: 0.000 0.000 0.500
N: 0.000 0.500 0.000

***

Most favorable structure: b. The second most favorable one is 827 meV per atom above it.

***

a | Crystalline VGeI2N at its relaxed geometry. Source: Alexandria, functional PBE-GGA.

Unit cell a=5.819 b=5.819 c=3.545 alpha=90.00 beta=90.00 gamma=90.00
Space group P4/mmm (No. 123)
Unique sites:
V: 0.000 0.000 0.000
Ge: 0.500 0.500 0.500
I: 0.000 0.500 0.500
N: 0.500 0.500 0.000

***

b | Crystalline VGeI2N at its relaxed geometry. Source: Alexandria, functional PBE-GGA.

Unit cell a=5.620 b=5.620 c=3.702 alpha=90.00 beta=90.00 gamma=90.00
Space group P4/mmm (No. 123)
Unique sites:
V: 0.000 0.000 0.000
Ge: 0.500 0.500 0.500
I: 0.000 0.500 0.000
N: 0.000 0.000 0.500

***

Most favorable structure: b. The second most favorable one is 844 meV per atom above it.

***

a | Crystalline YGeIN2 at its relaxed geometry. Source: Alexandria, functional PBE-GGA.

Unit cell a=4.130 b=4.130 c=5.307 alpha=90.00 beta=90.00 gamma=90.00
Space group P4/mmm (No. 123)
Unique sites:
Y: 0.000 0.000 0.000
Ge: 0.500 0.500 0.500
I: 0.500 0.500 0.000
N: 0.000 0.500 0.500

***

b | Crystalline YGeIN2 at its relaxed geometry. Source: Alexandria, functional PBE-GGA.

Unit cell a=4.427 b=4.427 c=6.112 alpha=90.00 beta=90.00 gamma=90.00
Space group P4/mmm (No. 123)
Unique sites:
Y: 0.000 0.000 0.000
Ge: 0.500 0.500 0.500
I: 0.000 0.000 0.500
N: 0.000 0.500 0.000

***

Most favorable structure: a. The second most favorable one is 67 meV per atom above it.

***

a | Crystalline YGeI2N at its relaxed geometry. Source: Alexandria, functional PBE-GGA.

Unit cell a=6.168 b=6.168 c=4.099 alpha=90.00 beta=90.00 gamma=90.00
Space group P4/mmm (No. 123)
Unique sites:
Y: 0.000 0.000 0.000
Ge: 0.500 0.500 0.500
I: 0.000 0.500 0.000
N: 0.000 0.000 0.500

***

b | Crystalline YGeI2N at its relaxed geometry. Source: Alexandria, functional PBE-GGA.

Unit cell a=6.066 b=6.066 c=3.652 alpha=90.00 beta=90.00 gamma=90.00
Space group P4/mmm (No. 123)
Unique sites:
Y: 0.000 0.000 0.000
Ge: 0.500 0.500 0.500
I: 0.000 0.500 0.500
N: 0.500 0.500 0.000

***

Most favorable structure: a. The second most favorable one is 69 meV per atom above it.

***

a | Crystalline ZnGeI2N at its relaxed geometry. Source: Alexandria, functional PBE-GGA.

Unit cell a=6.135 b=6.135 c=3.489 alpha=90.00 beta=90.00 gamma=90.00
Space group P4/mmm (No. 123)
Unique sites:
Zn: 0.000 0.000 0.000
Ge: 0.500 0.500 0.500
I: 0.000 0.500 0.500
N: 0.500 0.500 0.000

***

b | Crystalline ZnGeI2N at its relaxed geometry. Source: Alexandria, functional PBE-GGA.

Unit cell a=5.826 b=5.826 c=3.781 alpha=90.00 beta=90.00 gamma=90.00
Space group P4/mmm (No. 123)
Unique sites:
Zn: 0.000 0.000 0.000
Ge: 0.500 0.500 0.500
I: 0.000 0.500 0.000
N: 0.000 0.000 0.500

***

Most favorable structure: a. The second most favorable one is 76 meV per atom above it.